[1]
Density functional theory data (PBE) for a relaxed structure of K2Rb2CdAs2.

a b c (Å): 5.9828 5.9828 27.9267
angles (deg): 90.00 90.00 120.00
Space group R-3m (No. 166, hexagonal axes)
Unique sites:
1 K 0.0000 0.0000 0.2080 [6 per cell]
2 Rb 0.0000 0.0000 0.3895 [6 per cell]
3 Cd 0.0000 0.0000 0.0000 [3 per cell]
4 As 0.0000 0.0000 0.0902 [6 per cell]

Summary:
The calculation puts the excess energy over the best structure of this formula in the dataset at 0.006 eV per atom.



[2]
Density functional theory data (PBE) for a relaxed structure of YAgSnS3.

a b c (Å): 8.488 4.015 16.636
angles (deg): 90.00 90.00 90.00
Space group Pnma (No. 62)
Unique sites:
1 Y 0.185 0.250 0.060 [4 per cell]
2 Ag 0.097 0.250 0.390 [4 per cell]
3 Sn 0.159 0.250 0.760 [4 per cell]
4 S 0.097 0.250 0.604 [4 per cell]
5 S 0.132 0.250 0.223 [4 per cell]
6 S 0.136 0.750 0.950 [4 per cell]

Summary:
Its magnetization is 0.008 μB per cell. The calculation puts the excess energy over the best structure of this formula in the dataset at 0.005 eV per atom.



[3]
Density functional theory data (PBE) for a relaxed structure of Tb2PaNi9.

a b c (Å): 4.9175 4.9175 24.5031
angles (deg): 90.00 90.00 120.00
Space group R-3m (No. 166, hexagonal axes)
Unique sites:
1 Tb 0.0000 0.0000 0.1392 [6 per cell]
2 Pa 0.0000 0.0000 0.0000 [3 per cell]
3 Ni 0.0000 0.0000 0.3333 [6 per cell]
4 Ni 0.0000 0.0000 0.5000 [3 per cell]
5 Ni 0.0006 0.5003 0.9182 [18 per cell]

Summary:
Its magnetization is 0.153 μB per cell. The total energy is -6.159 eV/atom.



[4]
Density functional theory data (PBE) for a relaxed structure of CuAgIrPb.

a b c (Å): 6.518 6.518 6.518
angles (deg): 90.00 90.00 90.00
Space group F-43m (No. 216)
Unique sites:
1 Cu 0.000 0.000 0.000 [4 per cell]
2 Ag 0.250 0.250 0.250 [4 per cell]
3 Ir 0.000 0.000 0.500 [4 per cell]
4 Pb 0.250 0.250 0.750 [4 per cell]

Summary:
Its magnetization is 0.018 μB per cell. The calculation puts the excess energy over the best structure of this formula in the dataset at 0.000 eV per atom.



[5]
Density functional theory data (PBE) for a relaxed structure of TbY2Zn4Si4.

a b c (Å): 4.021 4.101 24.634
angles (deg): 90.00 90.00 90.00
Space group Immm (No. 71)
Unique sites:
1 Tb 0.000 0.000 0.000 [2 per cell]
2 Y 0.000 0.500 0.143 [4 per cell]
3 Zn 0.000 0.000 0.250 [4 per cell]
4 Zn 0.000 0.500 0.406 [4 per cell]
5 Si 0.000 0.000 0.453 [4 per cell]
6 Si 0.000 0.500 0.311 [4 per cell]

Summary:
Its magnetization is 0.015 μB per cell. The total energy is -4.571 eV/atom.



[6]
Density functional theory data (PBE) for a relaxed structure of TbHoAu6.

a b c (Å): 5.031 6.159 5.140
angles (deg): 90.00 90.00 90.00
Space group Pmm2 (No. 25)
Unique sites:
1 Tb 0.000 0.000 0.000 [1 per cell]
2 Ho 0.500 0.500 0.689 [1 per cell]
3 Au 0.000 0.258 0.506 [2 per cell]
4 Au 0.000 0.500 0.009 [1 per cell]
5 Au 0.500 0.000 0.676 [1 per cell]
6 Au 0.500 0.246 0.182 [2 per cell]

Summary:
Its magnetization is 0.002 μB per cell. The total energy is -4.325 eV/atom.



[7]
Density functional theory data (PBE) for a relaxed structure of Dy4TlSi4Ni2.

a b c (Å): 15.333 4.177 6.971
angles (deg): 90.00 108.78 90.00
Space group C2/m (No. 12)
Unique sites:
1 Dy 0.090 0.000 0.387 [4 per cell]
2 Dy 0.156 0.000 0.938 [4 per cell]
3 Tl 0.000 0.500 0.000 [2 per cell]
4 Si 0.065 0.500 0.653 [4 per cell]
5 Si 0.210 0.500 0.285 [4 per cell]
6 Ni 0.215 0.500 0.644 [4 per cell]

Summary:
Its magnetization is 0.003 μB per cell. The total energy is -5.622 eV/atom.



[8]
Density functional theory data (PBE) for a relaxed structure of ErLu.

a b c (Å): 5.487 12.257 7.078
angles (deg): 90.00 90.00 90.00
Space group Ama2 (No. 40)
Unique sites:
1 Er 0.250 0.083 0.000 [4 per cell]
2 Er 0.250 0.333 0.750 [4 per cell]
3 Lu 0.250 0.083 0.501 [4 per cell]
4 Lu 0.250 0.334 0.251 [4 per cell]

Summary:
Its magnetization is 0.048 μB per cell. The calculation puts the excess energy over the best structure of this formula in the dataset at 0.000 eV per atom.



[9]
Density functional theory data (PBE) for a relaxed structure of Dy2Ho2GaNi2Ge4.

a b c (Å): 15.325 4.237 6.930
angles (deg): 90.00 108.26 90.00
Space group C2/m (No. 12)
Unique sites:
1 Dy 0.090 0.000 0.385 [4 per cell]
2 Ho 0.153 0.000 0.940 [4 per cell]
3 Ga 0.000 0.500 0.000 [2 per cell]
4 Ni 0.217 0.500 0.645 [4 per cell]
5 Ge 0.064 0.500 0.667 [4 per cell]
6 Ge 0.203 0.500 0.271 [4 per cell]

Summary:
Its magnetization is 0.013 μB per cell. The total energy is -5.424 eV/atom.



[10]
Density functional theory data (PBE) for a relaxed structure of SrGaSnIrPd.

a b c (Å): 4.450 4.450 10.873
angles (deg): 90.00 90.00 90.00
Space group P4/nmm (No. 129, origin choice 2)
Unique sites:
1 Sr 0.250 0.250 0.250 [2 per cell]
2 Ga 0.250 0.750 0.000 [2 per cell]
3 Sn 0.250 0.250 0.633 [2 per cell]
4 Ir 0.250 0.750 0.500 [2 per cell]
5 Pd 0.250 0.250 0.881 [2 per cell]

Summary:
Its magnetization is 0.012 μB per cell. The calculation puts the excess energy over the best structure of this formula in the dataset at 0.028 eV per atom.



[11]
Density functional theory data (PBE) for a relaxed structure of Pr2Nd2O5.

a b c (Å): 4.600 4.600 7.332
angles (deg): 90.00 90.00 90.00
Space group P4/mmm (No. 123)
Unique sites:
1 Pr 0.000 0.000 0.209 [2 per cell]
2 Nd 0.500 0.500 0.000 [1 per cell]
3 Nd 0.500 0.500 0.500 [1 per cell]
4 O 0.000 0.000 0.500 [1 per cell]
5 O 0.000 0.500 0.222 [4 per cell]

Summary:
Its magnetization is 0.842 μB per cell. The calculation puts the excess energy over the best structure of this formula in the dataset at 0.085 eV per atom.



[12]
Density functional theory data (PBE) for a relaxed structure of GdBi.

a b c (Å): 6.353 6.353 6.353
angles (deg): 90.00 90.00 90.00
Space group Fm-3m (No. 225)
Unique sites:
1 Gd 0.000 0.000 0.000 [4 per cell]
2 Bi 0.000 0.000 0.500 [4 per cell]

Summary:
Its magnetization is 0.002 μB per cell. The calculation puts the excess energy over the best structure of this formula in the dataset at 0.000 eV per atom.